1.
This record from the Alexandria database describes a relaxed structure of Be2BPIr. The functional is PBE.

Summary:
The formation energy from the elements is 1046 meV/atom. The calculation puts the magnetic moment at 0.00 Bohr magnetons per cell.

Geometry as POSCAR:
```
Be2BPIr
1.0
-2.007 2.913 1.847
1.441 -1.152 3.383
3.109 2.453 -0.489
P B Ir Be
1 1 1 2
direct
0.000 0.000 0.000 P
0.000 0.500 0.000 B
0.500 0.500 0.500 Ir
0.000 0.000 0.500 Be
0.500 0.000 0.000 Be
```



2.
This record from the Alexandria database describes a relaxed structure of BeBIrPd2. The functional is PBE.

Summary:
The formation energy from the elements is 1740 meV/atom. The calculation puts the magnetic moment at 0.00 Bohr magnetons per cell.

Geometry as POSCAR:
```
BeBIrPd2
1.0
4.889 0.000 0.000
0.000 4.070 0.000
0.000 0.000 4.889
Be B Ir Pd
1 1 1 2
direct
0.000 0.500 0.000 Be
0.500 0.500 0.500 B
0.000 0.000 0.000 Ir
0.000 0.000 0.500 Pd
0.500 0.000 0.000 Pd
```



3.
This record from the Alexandria database describes a relaxed structure of PmBe2BIr2. The functional is PBE.

Summary:
The formation energy from the elements is -511 meV/atom. The calculation puts the magnetic moment at 0.00 Bohr magnetons per cell.

Geometry as POSCAR:
```
PmBe2BIr2
1.0
-0.311 3.892 -1.107
-3.816 0.087 1.380
1.774 1.509 4.809
Pm Be B Ir
1 2 1 2
direct
0.000 0.000 0.500 Pm
0.500 0.500 0.734 Be
0.500 0.500 0.266 Be
0.000 0.000 0.000 B
0.500 0.000 0.000 Ir
0.000 0.500 0.000 Ir
```



4.
This record from the Alexandria database describes a relaxed structure of BeBIrRh. The functional is PBE.

Summary:
The formation energy from the elements is -348 meV/atom. The value obtained for the energy above the most stable polymorph in this dataset is 0.0 meV per atom. The calculation puts the magnetic moment at 0.00 Bohr magnetons per cell.

Geometry as POSCAR:
```
BeBIrRh
1.0
2.753 0.000 0.000
0.000 2.753 0.000
0.000 0.000 5.542
Be B Ir Rh
1 1 1 1
direct
0.000 0.000 0.856 Be
0.000 0.000 0.348 B
0.500 0.500 0.123 Ir
0.500 0.500 0.600 Rh
```



5.
This record from the Alexandria database describes a relaxed structure of BeBIrRh. The functional is PBE.

Summary:
The formation energy from the elements is -342 meV/atom. The value obtained for the energy above the most stable polymorph in this dataset is 6.1 meV per atom. The calculation puts the magnetic moment at 0.00 Bohr magnetons per cell.

Geometry as POSCAR:
```
BeBIrRh
1.0
-0.485 -3.585 -1.431
3.091 -2.087 -1.108
1.107 -3.093 2.084
Be B Ir Rh
1 1 1 1
direct
0.250 0.250 0.250 Be
0.750 0.750 0.750 B
0.000 0.000 0.000 Ir
0.500 0.500 0.500 Rh
```



6.
This record from the Alexandria database describes a relaxed structure of Be2BIrRu. The functional is PBE.

Summary:
The formation energy from the elements is 737 meV/atom. The calculation puts the magnetic moment at 1.64 Bohr magnetons per cell.

Geometry as POSCAR:
```
Be2BIrRu
1.0
-2.105 2.432 2.599
-2.062 -3.125 1.255
2.829 -0.688 2.936
Ru B Ir Be
1 1 1 2
direct
0.500 0.500 0.500 Ru
0.000 0.500 0.000 B
0.000 0.000 0.000 Ir
0.000 0.000 0.500 Be
0.500 0.000 0.000 Be
```



Copy entry 6 word for word.
This record from the Alexandria database describes a relaxed structure of Be2BIrRu. The functional is PBE.

Summary:
The formation energy from the elements is 737 meV/atom. The calculation puts the magnetic moment at 1.64 Bohr magnetons per cell.

Geometry as POSCAR:
```
Be2BIrRu
1.0
-2.105 2.432 2.599
-2.062 -3.125 1.255
2.829 -0.688 2.936
Ru B Ir Be
1 1 1 2
direct
0.500 0.500 0.500 Ru
0.000 0.500 0.000 B
0.000 0.000 0.000 Ir
0.000 0.000 0.500 Be
0.500 0.000 0.000 Be
```



Which of these has the lowest formation energy from the elements? PmBe2BIr2



Among the records above, which one has the highest magnetic moment? Be2BIrRu